1.
# CaCl3 | Alexandria | GGA-PBE | relaxed
# Formation energy without anion corrections: -1.34 eV/atom
# Fermi-level density of states: 1.172 states/eV per atom
data_CaCl3
_chemical_formula_sum 'Ca1 Cl3'
_cell_length_a 3.452
_cell_length_b 3.452
_cell_length_c 10.152
_cell_angle_alpha 90.00
_cell_angle_beta 90.00
_cell_angle_gamma 90.00
_space_group_name_H-M_alt 'P 4/m m m'
_space_group_IT_number 123
_space_group_name_Hall '-P 4 2'
loop_
_atom_site_label
_atom_site_type_symbol
_atom_site_fract_x
_atom_site_fract_y
_atom_site_fract_z
Ca1 Ca 0.000 0.000 0.000
Cl1 Cl 0.000 0.000 0.500
Cl2 Cl 0.500 0.500 0.153

2.
# CaCl | Alexandria | GGA-PBE | relaxed
# Formation energy without anion corrections: -1.42 eV/atom
# Fermi-level density of states: 0.625 states/eV per atom
data_CaCl
_chemical_formula_sum 'Ca8 Cl8'
_cell_length_a 8.602
_cell_length_b 8.602
_cell_length_c 8.602
_cell_angle_alpha 90.00
_cell_angle_beta 90.00
_cell_angle_gamma 90.00
_space_group_name_H-M_alt 'I -4 3 m'
_space_group_IT_number 217
_space_group_name_Hall 'I -4 2 3'
loop_
_atom_site_label
_atom_site_type_symbol
_atom_site_fract_x
_atom_site_fract_y
_atom_site_fract_z
Ca1 Ca 0.184 0.184 0.816
Cl1 Cl 0.139 0.139 0.139